BaMn2BiF | PBE+U | optimized geometry

Properties
For the total DFT energy (no corrections), the calculation gives -4.61 eV/atom. As for the symmetry: No. 123.

The structure in POSCAR format:
```
BaMn2BiF
1.0
5.703 0.000 0.000
0.000 4.949 0.000
0.000 0.000 5.703
F Mn Bi Ba
1 2 1 1
Direct
0.000 0.500 0.000
0.000 0.000 0.500
0.500 0.000 0.000
0.000 0.000 0.000
0.500 0.500 0.500
```